This record from Alexandria describes Cs3RbCl after structural relaxation. The functional is PBEsol.

Output
Its volume is 70.7 A^3/atom. The total energy comes out at -1.9182 eV per atom. The calculation puts the total magnetization at 0.0 μB/cell.

```
data_Cs3RbCl
_chemical_formula_sum 'Cs3 Rb1 Cl1'
_symmetry_space_group_name_H-M 'P m -3 m'
_symmetry_Int_Tables_number 221
_symmetry_space_group_name_Hall '-P 4 2 3'
_cell_length_a 7.070
_cell_length_b 7.070
_cell_length_c 7.070
_cell_angle_alpha 90.00
_cell_angle_beta 90.00
_cell_angle_gamma 90.00
loop_
_atom_site_label
_atom_site_fract_x
_atom_site_fract_y
_atom_site_fract_z
_atom_site_occupancy
Cs1 0.000 0.000 0.500 1
Rb1 0.500 0.500 0.500 1
Cl1 0.000 0.000 0.000 1
```